## TmSc3Te (PBE)

Data for TmSc3Te after structural relaxation.

```
TmSc3Te
1.0
5.858 -2.776 0.000
5.858 2.776 0.000
-0.622 0.000 8.403
Tm Sc Te
2 6 2
Direct
0.101 0.101 0.136
0.899 0.899 0.864
0.165 0.165 0.732
0.365 0.365 0.033
0.453 0.453 0.671
0.547 0.547 0.329
0.635 0.635 0.967
0.835 0.835 0.268
0.302 0.302 0.382
0.698 0.698 0.618
```

Computed properties:
The size of the total moment is 1.30 μB per cell. The value obtained for the uncorrected energy is -5.58 eV/atom. The value obtained for the raw formation energy is -0.25 eV/atom.